The following is a PBE calculation of MgBe2P after structural relaxation, from the Alexandria database.

```
4
Lattice="3.677 0.000 0.000 0.000 3.677 0.000 0.000 0.000 3.660" Properties=species:S:1:pos:R:3 pbc="T T T"
Be 0.000 0.000 0.000
P 0.000 1.838 1.830
Mg 1.838 0.000 1.830
Be 1.838 1.838 0.000
```

Properties
The formation energy is 284.1 meV/atom. The offset from the most stable computed form is 296 meV/atom. Its space-group type is P4/mmm. As for the spin magnetization: 0.0 μB per formula unit.

***

The following is a PBE calculation of KZnHgI2 after structural relaxation, from the Alexandria database.

```
5
Lattice="-2.270 1.081 5.548 5.031 -2.340 2.514 2.195 4.700 -0.018" Properties=species:S:1:pos:R:3 pbc="T T T"
I 2.515 -1.170 1.257
K 2.478 1.721 4.022
I -1.135 0.540 2.774
Hg 1.098 2.350 -0.009
Zn 0.000 0.000 0.000
```

Properties
Its space-group type is P4/mmm. For the formation energy from raw total energies, the calculation gives -0.6020 eV per atom. As for the spin magnetization: 0.0 μB per formula unit.

***

The following is a PBE calculation of LiSmDy2Te4 after structural relaxation, from the Alexandria database.

```
8
Lattice="4.342 0.000 0.000 0.000 7.579 0.153 0.000 -2.629 7.097" Properties=species:S:1:pos:R:3 pbc="T T T"
Dy 2.171 -1.314 3.549
Te 0.000 4.973 1.861
Te 2.171 1.306 1.816
Sm 0.000 0.000 0.000
Te 0.000 -0.022 5.389
Dy 0.000 2.475 3.625
Li 2.171 3.790 0.076
Te 2.171 3.644 5.434
```

Properties
Its space-group type is P2/m. For the formation energy from raw total energies, the calculation gives -1.3249 eV per atom. As for the spin magnetization: 0.0 μB per formula unit.

***

The following is a PBE calculation of CaTi2CuPd after structural relaxation, from the Alexandria database.

```
5
Lattice="-2.646 -3.601 -1.796 3.964 -1.722 -2.386 1.114 -2.721 3.814" Properties=species:S:1:pos:R:3 pbc="T T T"
Cu 1.982 -0.861 -1.193
Pd 0.000 0.000 0.000
Ca 1.216 -4.022 -0.184
Ti -1.323 -1.800 -0.898
Ti 0.557 -1.361 1.907
```

Properties
The formation energy is 406.8 meV/atom. Its space-group type is P4/mmm. As for the spin magnetization: 2.4 μB per formula unit.

***

The following is a PBE calculation of La5Sb2Ru after structural relaxation, from the Alexandria database.

```
32
Lattice="8.381 0.000 0.000 0.000 9.226 0.000 0.000 0.000 12.846" Properties=species:S:1:pos:R:3 pbc="T T T"
La 1.549 4.930 0.822
La 5.740 4.297 5.600
Ru 3.520 2.307 6.631
La 8.033 6.920 6.382
La 3.842 2.307 0.041
La 7.123 6.920 2.596
Sb 7.730 0.065 8.642
Sb 4.841 0.065 2.219
La 2.642 8.910 7.245
La 4.539 6.920 12.805
Ru 7.711 6.920 12.637
La 6.832 4.297 12.023
Sb 7.730 4.548 8.642
Sb 3.540 4.678 10.626
La 2.933 2.307 3.826
Sb 4.841 4.548 2.219
Sb 3.540 9.161 10.626
Sb 0.651 4.678 4.204
La 3.167 6.920 3.881
Ru 0.670 2.307 0.208
Sb 0.651 9.161 4.204
Ru 4.861 6.920 6.215
La 6.832 0.317 12.023
La 5.740 0.317 5.600
La 5.214 2.307 8.964
La 2.642 4.930 7.245
La 1.024 6.920 10.304
La 5.448 6.920 9.019
La 7.357 2.307 2.541
La 1.549 8.910 0.822
La 1.258 2.307 10.249
La 0.349 2.307 6.464
```

Properties
The offset from the most stable computed form is 0 meV/atom. Its space-group type is Pnma. For the formation energy from raw total energies, the calculation gives -0.8309 eV per atom. As for the spin magnetization: 0.0 μB per formula unit.

***

The following is a PBE calculation of Sc2SI after structural relaxation, from the Alexandria database.

```
4
Lattice="3.703 0.159 3.162 -0.066 -2.821 3.972 3.061 -3.774 0.359" Properties=species:S:1:pos:R:3 pbc="T T T"
Sc 1.675 -1.609 1.873
S 0.000 0.000 0.000
Sc 5.024 -4.827 5.620
I 3.349 -3.218 3.747
```

Properties
The offset from the most stable computed form is 409 meV/atom. Its space-group type is Fm-3m. For the formation energy from raw total energies, the calculation gives -0.8301 eV per atom. As for the spin magnetization: 0.0 μB per formula unit.